# 1
This record from Alexandria via LeMat-Bulk describes a crystal of SbRu2 relaxed with PBEsol. The functional is meta-GGA SCAN.

POSCAR file:
```
SbRu2
1.0
2.9512 0.0000 0.0000
0.0000 3.7378 0.0000
0.0000 0.0000 18.2866
Sb Ru
4 8
Cartesian
0.0000 0.9344 2.3005
0.0000 2.8033 15.9861
1.4756 0.9344 6.8428
1.4756 2.8033 11.4438
0.0000 0.9344 9.9121
0.0000 0.9344 12.6621
0.0000 2.8033 5.6245
0.0000 2.8033 8.3745
1.4756 0.9344 14.7678
1.4756 0.9344 17.5178
1.4756 2.8033 0.7688
1.4756 2.8033 3.5188
```

formation energy without anion corrections = 480.6 meV per atom
total magnetization = 0.0 μB per formula unit
total DFT energy (no corrections) = -421.89 eV for the cell shown



# 2
This record from Alexandria via LeMat-Bulk describes a crystal of KMgTl relaxed with PBEsol. The functional is meta-GGA SCAN.

POSCAR file:
```
KMgTl
1.0
3.9523 0.0000 0.0000
0.0000 3.9523 0.0000
0.0000 0.0000 12.8602
K Mg Tl
2 2 2
Cartesian
0.0000 0.0000 0.0000
1.9761 1.9761 6.4301
0.0000 0.0000 3.6539
1.9761 1.9761 10.0840
0.0000 0.0000 8.9875
1.9761 1.9761 2.5574
```

total magnetization = 0.0 μB per formula unit
energy relative to the elements = -0.10 eV per atom
total DFT energy (no corrections) = -171.91 eV for the cell shown



# 3
This record from Alexandria via LeMat-Bulk describes a crystal of MnSb2S4 relaxed with PBEsol. The functional is meta-GGA SCAN.

POSCAR file:
```
MnSb2S4
1.0
6.1787 -1.8914 0.0000
6.1787 1.8914 0.0000
-6.0418 0.0000 13.2075
Mn Sb S
2 4 8
Cartesian
0.0000 0.0000 0.0000
-3.0209 0.0000 6.6038
-2.5040 0.0000 11.5057
0.4850 0.0000 8.3983
5.8305 0.0000 4.8092
8.8195 0.0000 1.7018
-3.9422 0.0000 8.8453
0.9544 0.0000 2.3174
1.4641 0.0000 6.0678
4.5745 0.0000 0.6276
1.7411 0.0000 12.5799
4.8514 0.0000 7.1398
5.3611 0.0000 10.8901
10.2577 0.0000 4.3623
```

formation energy without anion corrections = -506.6 meV per atom
total magnetization = 5.0 μB per formula unit
total DFT energy (no corrections) = -269.67 eV for the cell shown



# 4
This record from Alexandria via LeMat-Bulk describes a crystal of K2HfCdSi relaxed with PBEsol. The functional is meta-GGA SCAN.

POSCAR file:
```
K2HfCdSi
1.0
6.9664 0.0000 0.0000
0.0000 6.9664 0.0000
0.0000 0.0000 4.9595
K Hf Cd Si
2 1 1 1
Cartesian
0.0000 3.4832 0.0000
3.4832 0.0000 0.0000
0.0000 0.0000 0.0000
3.4832 3.4832 2.4798
0.0000 0.0000 2.4798
```

formation energy without anion corrections = 872.9 meV per atom
total magnetization = 0.3 μB per formula unit
total DFT energy (no corrections) = -115.40 eV for the cell shown



# 5
This record from Alexandria via LeMat-Bulk describes a crystal of MnCuNi2 relaxed with PBEsol. The functional is meta-GGA SCAN.

POSCAR file:
```
MnCuNi2
1.0
3.4873 0.0000 0.0000
0.0000 3.4873 0.0000
0.0000 0.0000 7.2327
Mn Cu Ni
2 2 4
Cartesian
0.0000 0.0000 0.0000
1.7436 1.7436 3.6163
0.0000 1.7436 1.8082
1.7436 0.0000 5.4245
0.0000 0.0000 3.6163
0.0000 1.7436 5.4245
1.7436 0.0000 1.8082
1.7436 1.7436 0.0000
```

total magnetization = 4.8 μB per formula unit
energy relative to the elements = -0.13 eV per atom
total DFT energy (no corrections) = -132.68 eV for the cell shown



# 6
This record from Alexandria via LeMat-Bulk describes a crystal of BeAlW2 relaxed with PBEsol. The functional is meta-GGA SCAN.

POSCAR file:
```
BeAlW2
1.0
3.4566 0.0000 0.0000
0.0000 4.3448 0.0000
0.0000 0.0000 7.2671
Be Al W
2 2 4
Cartesian
0.0000 0.0000 0.0000
1.7283 2.1724 0.0000
0.0000 2.1724 1.5513
1.7283 0.0000 1.5513
0.0000 0.0000 3.5200
0.0000 2.1724 5.6844
1.7283 0.0000 5.6844
1.7283 2.1724 3.5200
```

total magnetization = 0.0 μB per formula unit
energy relative to the elements = 0.17 eV per atom
total DFT energy (no corrections) = -301.64 eV for the cell shown



# 7
This record from Alexandria via LeMat-Bulk describes a crystal of TaOs3 relaxed with PBEsol. The functional is meta-GGA SCAN.

POSCAR file:
```
TaOs3
1.0
5.5482 0.0000 0.0000
-2.7741 4.8049 0.0000
0.0000 0.0000 4.4237
Ta Os
2 6
Cartesian
0.0000 3.2032 1.1059
2.7741 1.6016 3.3178
0.0000 1.5884 3.3178
-1.3985 4.0107 3.3178
1.3756 0.7942 1.1059
1.3985 4.0107 3.3178
4.1726 0.7942 1.1059
2.7741 3.2165 1.1059
```

total magnetization = 0.0 μB per formula unit
energy relative to the elements = -0.17 eV per atom
total DFT energy (no corrections) = -565.77 eV for the cell shown



# 8
This record from Alexandria via LeMat-Bulk describes a crystal of ZrBNF2 relaxed with PBEsol. The functional is meta-GGA SCAN.

POSCAR file:
```
ZrBNF2
1.0
4.3260 0.0000 0.0000
0.0000 4.3260 0.0000
0.0000 0.0000 2.7086
Zr B N F
1 1 1 2
Cartesian
0.0000 0.0000 0.0000
2.1630 2.1630 1.3543
2.1630 2.1630 0.0000
0.0000 2.1630 1.3543
2.1630 0.0000 1.3543
```

formation energy without anion corrections = -1449.2 meV per atom
total magnetization = 0.0 μB per formula unit
total DFT energy (no corrections) = -61.75 eV for the cell shown



# 9
This record from Alexandria via LeMat-Bulk describes a crystal of ScMn3Sb relaxed with PBEsol. The functional is meta-GGA SCAN.

POSCAR file:
```
ScMn3Sb
1.0
4.7902 0.0000 0.0000
0.0000 4.7902 0.0000
0.0000 0.0000 4.7902
Sc Mn Sb
1 3 1
Cartesian
0.0000 0.0000 0.0000
0.0000 2.3951 2.3951
2.3951 0.0000 2.3951
2.3951 2.3951 0.0000
2.3951 2.3951 2.3951
```

formation energy without anion corrections = 527.0 meV per atom
total magnetization = 9.7 μB per formula unit
total DFT energy (no corrections) = -103.63 eV for the cell shown



# 10
This record from Alexandria via LeMat-Bulk describes a crystal of Ta2SbAs relaxed with PBEsol. The functional is meta-GGA SCAN.

POSCAR file:
```
Ta2SbAs
1.0
4.6423 0.0000 0.0000
0.0000 4.6423 0.0000
0.0000 0.0000 3.2920
Ta Sb As
2 1 1
Cartesian
0.0000 2.3211 0.0000
2.3211 0.0000 0.0000
0.0000 0.0000 1.6460
2.3211 2.3211 1.6460
```

formation energy without anion corrections = 16.7 meV per atom
total magnetization = 0.0 μB per formula unit
total DFT energy (no corrections) = -190.55 eV for the cell shown



# 11
This record from Alexandria via LeMat-Bulk describes a crystal of RbGa3Fe relaxed with PBEsol. The functional is meta-GGA SCAN.

POSCAR file:
```
RbGa3Fe
1.0
4.6595 0.0000 0.0000
0.0000 4.6595 0.0000
0.0000 0.0000 4.6595
Rb Ga Fe
1 3 1
Cartesian
0.0000 0.0000 0.0000
0.0000 2.3297 2.3297
2.3297 0.0000 2.3297
2.3297 2.3297 0.0000
2.3297 2.3297 2.3297
```

total magnetization = 0.0 μB per formula unit
energy relative to the elements = -0.10 eV per atom
total DFT energy (no corrections) = -88.40 eV for the cell shown



# 12
This record from Alexandria via LeMat-Bulk describes a crystal of CdGa3O relaxed with PBEsol. The functional is meta-GGA SCAN.

POSCAR file:
```
CdGa3O
1.0
4.9531 0.0000 0.0000
0.0000 4.9531 0.0000
0.0000 0.0000 4.9531
Cd Ga O
1 3 1
Cartesian
0.0000 0.0000 0.0000
0.0000 0.0000 2.4766
0.0000 2.4766 0.0000
2.4766 0.0000 0.0000
2.4766 2.4766 2.4766
```

formation energy without anion corrections = 795.2 meV per atom
total magnetization = 0.0 μB per formula unit
total DFT energy (no corrections) = -81.71 eV for the cell shown



# 13
This record from Alexandria via LeMat-Bulk describes a crystal of Tc2BBr relaxed with PBEsol. The functional is meta-GGA SCAN.

POSCAR file:
```
Tc2BBr
1.0
5.8277 0.0000 0.0000
0.0000 5.8277 0.0000
0.0000 0.0000 5.8277
Tc B Br
8 4 4
Cartesian
1.4569 1.4569 1.4569
1.4569 1.4569 4.3708
1.4569 4.3708 1.4569
1.4569 4.3708 4.3708
4.3708 1.4569 1.4569
4.3708 1.4569 4.3708
4.3708 4.3708 1.4569
4.3708 4.3708 4.3708
0.0000 0.0000 0.0000
0.0000 2.9139 2.9139
2.9139 0.0000 2.9139
2.9139 2.9139 0.0000
0.0000 0.0000 2.9139
0.0000 2.9139 0.0000
2.9139 0.0000 0.0000
2.9139 2.9139 2.9139
```

formation energy without anion corrections = 1042.2 meV per atom
total magnetization = 0.0 μB per formula unit
total DFT energy (no corrections) = -371.36 eV for the cell shown



# 14
This record from Alexandria via LeMat-Bulk describes a crystal of LiTlCr relaxed with PBEsol. The functional is meta-GGA SCAN.

POSCAR file:
```
LiTlCr
1.0
3.4662 0.0000 0.0000
0.0000 3.4662 0.0000
0.0000 0.0000 9.0495
Li Tl Cr
2 2 2
Cartesian
0.0000 0.0000 0.0000
1.7331 1.7331 4.5247
0.0000 0.0000 6.0020
1.7331 1.7331 1.4773
0.0000 0.0000 3.0625
1.7331 1.7331 7.5872
```

total magnetization = 4.4 μB per formula unit
energy relative to the elements = 0.05 eV per atom
total DFT energy (no corrections) = -185.94 eV for the cell shown